# HfTiPd2 PBE-GGA relaxed
# Energy of formation   -0.5512 eV per atom
# Distance to the lowest polymorph of the same formula   30 meV per atom
data_HfTiPd2
_cell_length_a 3.089
_cell_length_b 3.089
_cell_length_c 7.129
_cell_angle_alpha 90.00
_cell_angle_beta 90.00
_cell_angle_gamma 90.00
_symmetry_space_group_name_H-M 'P 4/m m m'
_symmetry_Int_Tables_number 123
_symmetry_space_group_name_Hall '-P 4 2'
loop_
_atom_site_label
_atom_site_type_symbol
_atom_site_fract_x
_atom_site_fract_y
_atom_site_fract_z
Hf1 Hf 0.000 0.000 0.000
Ti1 Ti 0.000 0.000 0.500
Pd1 Pd 0.500 0.500 0.276